1.
The following is a DFT calculation (PBE) of an optimized crystal structure of NaZn3O.

Properties
Its crystal system is cubic. As for the space group: Pm-3m, No. 221. The final energy comes out at -5.3 eV/cell. The calculation puts the formation energy from raw total energies at 0.97 eV per atom. As for the total moment: 1.17 μB/f.u. The calculation puts the offset from the most stable computed form at 936.4 meV per atom.

The structure in CIF format:
```
data_NaZn3O
_chemical_formula_sum 'Na1 Zn3 O1'
_symmetry_space_group_name_H-M 'P 1'
_symmetry_Int_Tables_number 1
_symmetry_space_group_name_Hall 'P 1'
_cell_length_a 5.591
_cell_length_b 5.591
_cell_length_c 5.591
_cell_angle_alpha 90.00
_cell_angle_beta 90.00
_cell_angle_gamma 90.00
loop_
_atom_site_label
_atom_site_fract_x
_atom_site_fract_y
_atom_site_fract_z
_atom_site_occupancy
Na1 0.000 0.000 0.000 1
Zn1 0.000 0.500 0.000 1
Zn2 0.000 0.000 0.500 1
Zn3 0.500 0.000 0.000 1
O1 0.500 0.500 0.500 1
```

---

2.
The following is a DFT calculation (PBE) of an optimized crystal structure of NaZn2O2.

Properties
Its crystal system is monoclinic. As for the space group: C2/m, No. 12. The final energy comes out at -18.8 eV/cell. The calculation puts the formation energy from raw total energies at -0.99 eV per atom. As for the total moment: 0.00 μB/f.u. The calculation puts the offset from the most stable computed form at 112.2 meV per atom.

The structure in CIF format:
```
data_NaZn2O2
_chemical_formula_sum 'Na1 Zn2 O2'
_symmetry_space_group_name_H-M 'P 1'
_symmetry_Int_Tables_number 1
_symmetry_space_group_name_Hall 'P 1'
_cell_length_a 3.903
_cell_length_b 3.903
_cell_length_c 6.648
_cell_angle_alpha 106.74
_cell_angle_beta 106.74
_cell_angle_gamma 90.02
loop_
_atom_site_label
_atom_site_fract_x
_atom_site_fract_y
_atom_site_fract_z
_atom_site_occupancy
Na1 0.000 0.000 0.000 1
Zn1 0.250 0.750 0.500 1
Zn2 0.750 0.250 0.500 1
O1 0.810 0.810 0.622 1
O2 0.190 0.190 0.378 1
```

---

3.
The following is a DFT calculation (PBE) of an optimized crystal structure of Na2ZnO2.

Properties
Its crystal system is orthorhombic. As for the space group: Ibam, No. 72. The final energy comes out at -41.2 eV/cell. The calculation puts the formation energy from raw total energies at -1.35 eV per atom. As for the total moment: 0.00 μB/f.u.

The structure in CIF format:
```
data_Na2ZnO2
_chemical_formula_sum 'Na4 Zn2 O4'
_symmetry_space_group_name_H-M 'P 1'
_symmetry_Int_Tables_number 1
_symmetry_space_group_name_Hall 'P 1'
_cell_length_a 5.440
_cell_length_b 5.959
_cell_length_c 5.959
_cell_angle_alpha 56.68
_cell_angle_beta 62.84
_cell_angle_gamma 62.84
loop_
_atom_site_label
_atom_site_fract_x
_atom_site_fract_y
_atom_site_fract_z
_atom_site_occupancy
Na1 0.348 0.268 0.036 1
Na2 0.652 0.732 0.964 1
Na3 0.152 0.964 0.732 1
Na4 0.848 0.036 0.268 1
Zn1 0.250 0.500 0.500 1
Zn2 0.750 0.500 0.500 1
O1 0.100 0.612 0.187 1
O2 0.900 0.388 0.813 1
O3 0.400 0.813 0.388 1
O4 0.600 0.187 0.612 1
```

---

4.
The following is a DFT calculation (PBE) of an optimized crystal structure of NaZnO2.

Properties
Its crystal system is tetragonal. As for the space group: I-42d, No. 122. The final energy comes out at -33.7 eV/cell. The calculation puts the formation energy from raw total energies at -1.09 eV per atom. As for the total moment: 0.00 μB/f.u.

The structure in CIF format:
```
data_NaZnO2
_chemical_formula_sum 'Na2 Zn2 O4'
_symmetry_space_group_name_H-M 'P 1'
_symmetry_Int_Tables_number 1
_symmetry_space_group_name_Hall 'P 1'
_cell_length_a 5.552
_cell_length_b 5.552
_cell_length_c 5.188
_cell_angle_alpha 57.65
_cell_angle_beta 57.65
_cell_angle_gamma 90.00
loop_
_atom_site_label
_atom_site_fract_x
_atom_site_fract_y
_atom_site_fract_z
_atom_site_occupancy
Na1 0.500 0.500 0.000 1
Na2 0.250 0.750 0.500 1
Zn1 0.000 0.000 0.000 1
Zn2 0.750 0.250 0.500 1
O1 0.690 0.125 0.250 1
O2 0.060 0.625 0.250 1
O3 0.375 0.310 0.750 1
O4 0.875 0.940 0.750 1
```

---

5.
The following is a DFT calculation (PBE) of an optimized crystal structure of Na2ZnO.

Properties
Its crystal system is tetragonal. As for the space group: I-42d, No. 122. The final energy comes out at -21.9 eV/cell. The calculation puts the formation energy from raw total energies at -0.52 eV per atom. As for the total moment: 0.00 μB/f.u. The calculation puts the offset from the most stable computed form at 0.0 meV per atom.

The structure in CIF format:
```
data_Na2ZnO
_chemical_formula_sum 'Na4 Zn2 O2'
_symmetry_space_group_name_H-M 'P 1'
_symmetry_Int_Tables_number 1
_symmetry_space_group_name_Hall 'P 1'
_cell_length_a 7.009
_cell_length_b 7.009
_cell_length_c 6.901
_cell_angle_alpha 59.48
_cell_angle_beta 59.48
_cell_angle_gamma 90.00
loop_
_atom_site_label
_atom_site_fract_x
_atom_site_fract_y
_atom_site_fract_z
_atom_site_occupancy
Na1 0.428 0.125 0.250 1
Na2 0.322 0.625 0.250 1
Na3 0.375 0.572 0.750 1
Na4 0.875 0.678 0.750 1
Zn1 0.000 0.000 0.000 1
Zn2 0.750 0.250 0.500 1
O1 0.500 0.500 0.000 1
O2 0.250 0.750 0.500 1
```

---

6.
The following is a DFT calculation (PBE) of an optimized crystal structure of NaZn2O2.

Properties
Its crystal system is monoclinic. As for the space group: C2/m, No. 12. The final energy comes out at -38.6 eV/cell. The calculation puts the formation energy from raw total energies at -1.11 eV per atom. As for the total moment: 0.00 μB/f.u. The calculation puts the offset from the most stable computed form at 0.0 meV per atom.

The structure in CIF format:
```
data_NaZn2O2
_chemical_formula_sum 'Na2 Zn4 O4'
_symmetry_space_group_name_H-M 'P 1'
_symmetry_Int_Tables_number 1
_symmetry_space_group_name_Hall 'P 1'
_cell_length_a 5.497
_cell_length_b 5.935
_cell_length_c 6.107
_cell_angle_alpha 119.09
_cell_angle_beta 116.77
_cell_angle_gamma 89.97
loop_
_atom_site_label
_atom_site_fract_x
_atom_site_fract_y
_atom_site_fract_z
_atom_site_occupancy
Na1 0.166 0.666 0.832 1
Na2 0.834 0.334 0.168 1
Zn1 0.452 0.236 0.500 1
Zn2 0.147 0.147 0.793 1
Zn3 0.548 0.764 0.500 1
Zn4 0.853 0.853 0.207 1
O1 0.650 0.650 0.800 1
O2 0.925 0.770 0.500 1
O3 0.075 0.230 0.500 1
O4 0.350 0.350 0.200 1
```

---

What is the total moment in the third record?
0.00 μB/f.u.

---

Copy entry 6 word for word.
The following is a DFT calculation (PBE) of an optimized crystal structure of NaZn2O2.

Properties
Its crystal system is monoclinic. As for the space group: C2/m, No. 12. The final energy comes out at -38.6 eV/cell. The calculation puts the formation energy from raw total energies at -1.11 eV per atom. As for the total moment: 0.00 μB/f.u. The calculation puts the offset from the most stable computed form at 0.0 meV per atom.

The structure in CIF format:
```
data_NaZn2O2
_chemical_formula_sum 'Na2 Zn4 O4'
_symmetry_space_group_name_H-M 'P 1'
_symmetry_Int_Tables_number 1
_symmetry_space_group_name_Hall 'P 1'
_cell_length_a 5.497
_cell_length_b 5.935
_cell_length_c 6.107
_cell_angle_alpha 119.09
_cell_angle_beta 116.77
_cell_angle_gamma 89.97
loop_
_atom_site_label
_atom_site_fract_x
_atom_site_fract_y
_atom_site_fract_z
_atom_site_occupancy
Na1 0.166 0.666 0.832 1
Na2 0.834 0.334 0.168 1
Zn1 0.452 0.236 0.500 1
Zn2 0.147 0.147 0.793 1
Zn3 0.548 0.764 0.500 1
Zn4 0.853 0.853 0.207 1
O1 0.650 0.650 0.800 1
O2 0.925 0.770 0.500 1
O3 0.075 0.230 0.500 1
O4 0.350 0.350 0.200 1
```

---

Which formula does entry 2 have?
NaZn2O2

---

What is the final energy in the third record?
-41.2 eV/cell